This record from Alexandria via LeMat-Bulk describes a relaxed structure of Cs3ReF8. The functional is GGA-PBE.

Lattice parameters (Å, degrees): 8.8389 8.8389 7.5424 90.00 90.00 120.00
Space group P6_3mc (No. 186)
Symmetry-distinct sites (fractional):
Cs 0.1572 0.3145 0.0000 [6 per cell]
Re 0.3333 0.6667 0.4470 [2 per cell]
F 0.0000 0.0000 0.2522 [2 per cell]
F 0.0847 0.5423 0.3692 [6 per cell]
F 0.2333 0.4667 0.6099 [6 per cell]
F 0.3333 0.6667 0.1829 [2 per cell]

Summary:
For the volume, the calculation gives 255.2 Å³/f.u. For the total energy, the calculation gives -120.70 eV/cell. The total magnetization comes out at 2.00 μB per formula unit.


This record from Alexandria via LeMat-Bulk describes a relaxed structure of Na3SrC4O12. The functional is GGA-PBE.

Lattice parameters (Å, degrees): 10.3013 10.3013 9.1152 90.00 90.00 120.00
Space group R32 (No. 155, hexagonal axes)
Symmetry-distinct sites (fractional):
Na 0.0000 0.5383 0.0000 [9 per cell]
Sr 0.0000 0.0000 0.0000 [3 per cell]
C 0.0000 0.0000 0.5000 [3 per cell]
C 0.0000 0.4610 0.5000 [9 per cell]
O 0.0000 0.5858 0.5000 [9 per cell]
O 0.0000 0.8757 0.5000 [9 per cell]
O 0.0042 0.2070 0.8334 [18 per cell]

Summary:
For the volume, the calculation gives 279.2 Å³/f.u. For the total energy, the calculation gives -401.50 eV/cell. The total magnetization comes out at 3.00 μB per formula unit.


This record from Alexandria via LeMat-Bulk describes a relaxed structure of TbEr2BiC. The functional is GGA-PBE.

Lattice parameters (Å, degrees): 4.867 4.867 4.973 90.00 90.00 90.00
Space group P4/mmm (No. 123)
Symmetry-distinct sites (fractional):
Tb 0.000 0.000 0.000 [1 per cell]
Er 0.000 0.500 0.500 [2 per cell]
Bi 0.500 0.500 0.000 [1 per cell]
C 0.000 0.000 0.500 [1 per cell]

Summary:
For the volume, the calculation gives 117.8 Å³/f.u. For the total energy, the calculation gives -29.53 eV/cell. The total magnetization comes out at 0.00 μB per formula unit.


This record from Alexandria via LeMat-Bulk describes a relaxed structure of Y5Zn2In. The functional is GGA-PBE.

Lattice parameters (Å, degrees): 8.119 8.119 12.991 90.00 90.00 90.00
Space group I4/mcm (No. 140)
Symmetry-distinct sites (fractional):
Y 0.000 0.000 0.000 [4 per cell]
Y 0.155 0.345 0.146 [16 per cell]
Zn 0.137 0.363 0.500 [8 per cell]
In 0.000 0.000 0.250 [4 per cell]

Summary:
For the volume, the calculation gives 214.1 Å³/f.u. For the total energy, the calculation gives -160.49 eV/cell. The total magnetization comes out at 0.00 μB per formula unit.


This record from Alexandria via LeMat-Bulk describes a relaxed structure of AgCl3F. The functional is GGA-PBE.

Lattice parameters (Å, degrees): 4.950 4.950 4.950 90.00 90.00 90.00
Space group Pm-3m (No. 221)
Symmetry-distinct sites (fractional):
Ag 0.000 0.000 0.000 [1 per cell]
Cl 0.000 0.000 0.500 [3 per cell]
F 0.500 0.500 0.500 [1 per cell]

Summary:
For the volume, the calculation gives 121.3 Å³/f.u. For the total energy, the calculation gives -9.60 eV/cell. The total magnetization comes out at 1.33 μB per formula unit.


This record from Alexandria via LeMat-Bulk describes a relaxed structure of Hf2SiSn. The functional is GGA-PBE.

Lattice parameters (Å, degrees): 3.1707 3.1707 28.0013 90.00 90.00 120.00
Space group R-3m (No. 166, hexagonal axes)
Symmetry-distinct sites (fractional):
Hf 0.0000 0.0000 0.2439 [6 per cell]
Si 0.0000 0.0000 0.5000 [3 per cell]
Sn 0.0000 0.0000 0.0000 [3 per cell]

Summary:
For the volume, the calculation gives 81.3 Å³/f.u. For the total energy, the calculation gives -89.79 eV/cell. The total magnetization comes out at 0.00 μB per formula unit.


This record from Alexandria via LeMat-Bulk describes a relaxed structure of TiAlPdRh. The functional is GGA-PBE.

Lattice parameters (Å, degrees): 4.067 4.067 7.112 90.00 90.00 90.00
Space group I-4m2 (No. 119)
Symmetry-distinct sites (fractional):
Ti 0.000 0.000 0.000 [2 per cell]
Al 0.000 0.000 0.500 [2 per cell]
Pd 0.000 0.500 0.250 [2 per cell]
Rh 0.000 0.500 0.750 [2 per cell]

Summary:
For the volume, the calculation gives 58.8 Å³/f.u. For the total energy, the calculation gives -55.20 eV/cell. The total magnetization comes out at 0.00 μB per formula unit.


This record from Alexandria via LeMat-Bulk describes a relaxed structure of NpUIrOs. The functional is GGA-PBE.

Lattice parameters (Å, degrees): 6.528 6.528 6.528 90.00 90.00 90.00
Space group F-43m (No. 216)
Symmetry-distinct sites (fractional):
Np 0.000 0.000 0.000 [4 per cell]
U 0.250 0.250 0.750 [4 per cell]
Ir 0.250 0.250 0.250 [4 per cell]
Os 0.000 0.000 0.500 [4 per cell]

Summary:
For the volume, the calculation gives 69.6 Å³/f.u. For the total energy, the calculation gives -181.46 eV/cell. The total magnetization comes out at 2.32 μB per formula unit.